## HfInPb3 (PBE)

Data for an optimized crystal structure of HfInPb3.

Output
Density in Mg/m³: 8.4
Formation enthalpy at 0 K in eV/atom: 0.338
Total energy in eV per cell: -22.13
Symmetry: Pm-3m (221)
Distance to the lowest polymorph of the same formula in kJ/mol of formula units: 0

Lattice parameters (Å, degrees): 5.652 5.652 5.652 90.00 90.00 90.00
Positions (direct):
Pb  0.000  0.000  0.500
Pb  0.500  0.000  0.000
Pb  0.000  0.500  0.000
In  0.500  0.500  0.500
Hf  0.000  0.000  0.000